CrPIO2 | GGA+U | optimized geometry

Output
- total magnetization (μB per atom) = 0.95
- total DFT energy (no corrections) (eV per atom) = -5.0973
- relative energy among the computed polymorphs (meV/atom) = 96

Lattice parameters (Å, degrees): 3.744 3.744 6.101 90.00 90.00 90.00
Positions (direct):
Cr1 0.000 0.000 0.000
P1 0.500 0.500 0.500
I1 0.500 0.500 0.000
O1 0.000 0.500 0.500
O2 0.500 0.000 0.500